#w
Here is a relaxed YSi3H crystal from Alexandria via LeMat-Bulk. Energies are from PBE-GGA.

Structure (POSCAR):
```
YSi3H
1.0
-1.126 1.471 -5.098
2.935 -4.169 -1.851
-4.420 -3.143 0.069
Y H Si
1 1 3
Cartesian
0.000 0.000 0.000
-1.305 -2.920 -3.440
1.468 -2.084 -0.925
-2.210 -1.571 0.035
-0.563 0.735 -2.549
```

Output
- crystal system = cubic
- symmetry = Pm-3m (221)

#x
Here is a relaxed YSi3H crystal from Alexandria via LeMat-Bulk. Energies are from PBE-GGA.

Structure (POSCAR):
```
YSi3H
1.0
-4.126 -0.696 -0.262
0.029 -1.625 3.865
-0.743 3.802 1.604
Y H Si
1 1 3
Cartesian
-2.420 0.740 2.603
0.000 0.000 0.000
0.014 -0.812 1.932
-0.372 1.901 0.802
-2.063 -0.348 -0.131
```

Output
- crystal system = cubic
- symmetry = Pm-3m (221)

The least stable of them is #w.

#w
Here is a relaxed Y3SiH crystal from Alexandria via LeMat-Bulk. Energies are from PBE-GGA.

Structure (POSCAR):
```
Y3SiH
1.0
-2.847 -2.088 1.744
4.743 -4.968 1.796
0.799 4.441 6.620
Y Si H
6 2 2
Cartesian
1.096 -2.975 4.896
1.599 0.361 5.265
-0.102 1.349 8.115
4.149 -2.128 6.449
2.797 -3.963 2.045
-1.455 -0.486 3.711
1.171 -1.293 2.586
1.524 -1.321 7.575
3.596 -3.156 4.316
-0.901 0.541 5.845
```

Output
- crystal system = monoclinic
- symmetry = P2_1/m (11)

#x
Here is a relaxed Y3SiH crystal from Alexandria via LeMat-Bulk. Energies are from PBE-GGA.

Structure (POSCAR):
```
Y3SiH
1.0
-0.562 3.338 3.225
-3.255 -2.599 2.123
3.308 -1.990 2.636
Y H Si
3 1 1
Cartesian
-1.627 -1.299 1.061
1.654 -0.995 1.318
-0.281 1.669 1.612
0.000 0.000 0.000
-0.254 -0.626 3.992
```

Output
- crystal system = cubic
- symmetry = Pm-3m (221)

The least stable of them is #x.

#w
Here is a relaxed Y2SiH2 crystal from Alexandria via LeMat-Bulk. Energies are from PBE-GGA.

Structure (POSCAR):
```
Y2SiH2
1.0
7.449 0.000 0.000
0.000 7.449 0.000
0.000 0.000 3.062
Y H Si
4 4 2
Cartesian
2.554 6.279 0.000
6.279 4.895 0.000
4.895 1.170 0.000
1.170 2.554 0.000
0.771 4.496 1.531
4.496 6.678 1.531
6.678 2.954 1.531
2.954 0.771 1.531
0.000 0.000 0.000
3.725 3.725 0.000
```

Output
- crystal system = tetragonal
- symmetry = P4/mbm (127)

#x
Here is a relaxed Y2SiH2 crystal from Alexandria via LeMat-Bulk. Energies are from PBE-GGA.

Structure (POSCAR):
```
Y2SiH2
1.0
3.602 0.000 0.000
0.000 3.602 0.000
1.801 1.801 6.045
Y H Si
2 2 1
Cartesian
1.801 1.801 1.683
3.602 3.602 4.363
3.602 1.801 3.023
1.801 3.602 3.023
0.000 0.000 0.000
```

Output
- crystal system = tetragonal
- symmetry = I4/mmm (139)

The least stable of them is #w.

#w
Here is a relaxed ZnSi2H crystal from Alexandria via LeMat-Bulk. Energies are from PBE-GGA.

Structure (POSCAR):
```
ZnSi2H
1.0
4.183 0.000 0.000
0.000 4.183 0.000
2.091 2.091 6.647
H Zn Si
2 2 4
Cartesian
2.091 2.091 0.000
2.091 4.183 3.323
0.000 0.000 0.000
4.183 2.091 3.323
2.710 1.046 1.662
1.473 3.137 1.662
3.137 3.565 4.985
5.229 4.801 4.985
```

Output
- crystal system = tetragonal
- symmetry = I-42d (122)

#x
Here is a relaxed ZnSi2H crystal from Alexandria via LeMat-Bulk. Energies are from PBE-GGA.

Structure (POSCAR):
```
ZnSi2H
1.0
-2.220 3.273 1.298
0.064 3.551 -2.171
-3.372 1.202 -2.124
H Zn Si
1 1 2
Cartesian
0.000 0.000 0.000
-2.764 4.013 -1.499
-1.382 2.006 -0.749
-4.145 6.019 -2.248
```

Output
- crystal system = cubic
- symmetry = Fm-3m (225)

The least stable of them is #x.